## A
Entry from Alexandria: an optimized crystal structure of Cd3GaN (PBE).

Calculated values
Magnetic moment in μB per atom: 0.00

a = 4.653 Å, b = 4.653 Å, c = 4.653 Å
α = 90.00°, β = 90.00°, γ = 90.00°
Element x y z (fractional)
Cd  0.000  0.000  0.500
Cd  0.000  0.500  0.000
Cd  0.500  0.000  0.000
Ga  0.500  0.500  0.500
N  0.000  0.000  0.000

=====

## B
Entry from Alexandria: an optimized crystal structure of Cd3GaN (PBE).

Calculated values
Magnetic moment in μB per atom: 0.41

a = 5.186 Å, b = 5.186 Å, c = 5.186 Å
α = 90.00°, β = 90.00°, γ = 90.00°
Element x y z (fractional)
Cd  0.000  0.000  0.500
Cd  0.000  0.500  0.000
Cd  0.500  0.000  0.000
Ga  0.000  0.000  0.000
N  0.500  0.500  0.500

=====

Result of the stability comparison: A is the most stable of them.

=====

## A
Entry from Alexandria: an optimized crystal structure of NaCd3Ga (PBE).

Calculated values
Magnetic moment in μB per atom: 0.00

a = 9.059 Å, b = 9.059 Å, c = 6.606 Å
α = 101.52°, β = 101.52°, γ = 64.21°
Element x y z (fractional)
Na  0.022  0.978  0.750
Na  0.358  0.642  0.250
Na  0.642  0.358  0.750
Na  0.978  0.022  0.250
Cd  0.008  0.338  0.606
Cd  0.017  0.324  0.056
Cd  0.306  0.327  0.404
Cd  0.324  0.017  0.556
Cd  0.327  0.306  0.904
Cd  0.338  0.008  0.106
Cd  0.662  0.992  0.894
Cd  0.673  0.694  0.096
Cd  0.676  0.983  0.444
Cd  0.694  0.673  0.596
Cd  0.983  0.676  0.944
Cd  0.992  0.662  0.394
Ga  0.241  0.590  0.727
Ga  0.410  0.759  0.773
Ga  0.590  0.241  0.227
Ga  0.759  0.410  0.273

=====

## B
Entry from Alexandria: an optimized crystal structure of NaCd3Ga (PBE).

Calculated values
Magnetic moment in μB per atom: 0.00

a = 5.415 Å, b = 5.415 Å, c = 5.011 Å
α = 115.85°, β = 115.85°, γ = 81.03°
Element x y z (fractional)
Na  0.000  0.000  0.000
Cd  0.294  0.705  0.503
Cd  0.692  0.692  0.197
Cd  0.705  0.294  0.503
Ga  0.285  0.285  0.776

=====

## C
Entry from Alexandria: an optimized crystal structure of NaCd3Ga (PBE).

Calculated values
Magnetic moment in μB per atom: 0.00

a = 5.449 Å, b = 5.449 Å, c = 5.449 Å
α = 90.00°, β = 90.00°, γ = 90.00°
Element x y z (fractional)
Na  0.000  0.000  0.000
Cd  0.000  0.000  0.500
Cd  0.000  0.500  0.000
Cd  0.500  0.000  0.000
Ga  0.500  0.500  0.500

=====

## D
Entry from Alexandria: an optimized crystal structure of NaCd3Ga (PBE).

Calculated values
Magnetic moment in μB per atom: 0.00

a = 5.286 Å, b = 5.286 Å, c = 5.286 Å
α = 90.00°, β = 90.00°, γ = 90.00°
Element x y z (fractional)
Na  0.000  0.000  0.000
Cd  0.000  0.500  0.500
Cd  0.500  0.000  0.500
Cd  0.500  0.500  0.000
Ga  0.500  0.500  0.500

=====

Result of the stability comparison: A is the most stable of them.

=====

## A
Entry from Alexandria: an optimized crystal structure of NaCd2Ga2 (PBE).

Calculated values
Magnetic moment in μB per atom: 0.00

a = 7.420 Å, b = 7.420 Å, c = 7.420 Å
α = 147.89°, β = 147.89°, γ = 46.04°
Element x y z (fractional)
Na  0.000  0.000  0.000
Cd  0.397  0.397  0.000
Cd  0.603  0.603  0.000
Ga  0.250  0.750  0.500
Ga  0.750  0.250  0.500

=====

## B
Entry from Alexandria: an optimized crystal structure of NaCd2Ga2 (PBE).

Calculated values
Magnetic moment in μB per atom: 0.00

a = 8.567 Å, b = 8.567 Å, c = 3.118 Å
α = 90.00°, β = 90.00°, γ = 90.00°
Element x y z (fractional)
Na  0.000  0.000  0.000
Na  0.500  0.500  0.000
Cd  0.138  0.362  0.000
Cd  0.362  0.862  0.000
Cd  0.638  0.138  0.000
Cd  0.862  0.638  0.000
Ga  0.160  0.660  0.500
Ga  0.340  0.160  0.500
Ga  0.660  0.840  0.500
Ga  0.840  0.340  0.500

=====

## C
Entry from Alexandria: an optimized crystal structure of NaCd2Ga2 (PBE).

Calculated values
Magnetic moment in μB per atom: 0.00

a = 6.571 Å, b = 6.571 Å, c = 6.571 Å
α = 139.46°, β = 139.46°, γ = 58.68°
Element x y z (fractional)
Na  0.000  0.000  0.000
Cd  0.250  0.750  0.500
Cd  0.750  0.250  0.500
Ga  0.392  0.392  0.000
Ga  0.608  0.608  0.000

=====

Result of the stability comparison: C is the most stable of them.

=====

## A
Entry from Alexandria: an optimized crystal structure of NaCd2Ga2 (PBE).

Calculated values
Magnetic moment in μB per atom: 0.00

a = 6.202 Å, b = 6.773 Å, c = 7.122 Å
α = 70.08°, β = 64.23°, γ = 66.09°
Element x y z (fractional)
Na  0.179  0.192  0.189
Na  0.821  0.808  0.811
Cd  0.120  0.307  0.667
Cd  0.405  0.647  0.315
Cd  0.595  0.353  0.685
Cd  0.880  0.693  0.333
Ga  0.294  0.658  0.973
Ga  0.363  0.870  0.591
Ga  0.637  0.130  0.409
Ga  0.706  0.342  0.027

=====

## B
Entry from Alexandria: an optimized crystal structure of NaCd2Ga2 (PBE).

Calculated values
Magnetic moment in μB per atom: 0.00

a = 8.094 Å, b = 8.094 Å, c = 3.485 Å
α = 90.00°, β = 90.00°, γ = 90.00°
Element x y z (fractional)
Na  0.000  0.000  0.000
Na  0.500  0.500  0.000
Cd  0.177  0.323  0.500
Cd  0.323  0.823  0.500
Cd  0.677  0.177  0.500
Cd  0.823  0.677  0.500
Ga  0.121  0.621  0.000
Ga  0.379  0.121  0.000
Ga  0.621  0.879  0.000
Ga  0.879  0.379  0.000

=====

Result of the stability comparison: A is the most stable of them.

=====

## A
Entry from Alexandria: an optimized crystal structure of Na2CdGa2 (PBE).

Calculated values
Magnetic moment in μB per atom: 0.00

a = 7.133 Å, b = 7.133 Å, c = 4.823 Å
α = 90.00°, β = 90.00°, γ = 90.00°
Element x y z (fractional)
Na  0.175  0.325  0.000
Na  0.325  0.825  0.000
Na  0.675  0.175  0.000
Na  0.825  0.675  0.000
Cd  0.000  0.000  0.500
Cd  0.500  0.500  0.500
Ga  0.127  0.627  0.500
Ga  0.373  0.127  0.500
Ga  0.627  0.873  0.500
Ga  0.873  0.373  0.500

=====

## B
Entry from Alexandria: an optimized crystal structure of Na2CdGa2 (PBE).

Calculated values
Magnetic moment in μB per atom: 0.00

a = 5.534 Å, b = 5.534 Å, c = 7.397 Å
α = 128.33°, β = 128.33°, γ = 43.52°
Element x y z (fractional)
Na  0.097  0.097  0.413
Na  0.903  0.903  0.587
Cd  0.500  0.500  0.000
Ga  0.265  0.265  0.140
Ga  0.735  0.735  0.860

=====

Result of the stability comparison: A is the most stable of them.

=====

## A
Entry from Alexandria: an optimized crystal structure of Na2CdGa2 (PBE).

Calculated values
Magnetic moment in μB per atom: 0.00

a = 7.646 Å, b = 7.646 Å, c = 7.646 Å
α = 148.58°, β = 148.58°, γ = 45.04°
Element x y z (fractional)
Na  0.250  0.750  0.500
Na  0.750  0.250  0.500
Cd  0.000  0.000  0.000
Ga  0.411  0.411  0.000
Ga  0.589  0.589  0.000

=====

## B
Entry from Alexandria: an optimized crystal structure of Na2CdGa2 (PBE).

Calculated values
Magnetic moment in μB per atom: 0.00

a = 9.598 Å, b = 9.598 Å, c = 9.598 Å
α = 157.33°, β = 157.33°, γ = 32.27°
Element x y z (fractional)
Na  0.107  0.107  0.000
Na  0.893  0.893  0.000
Cd  0.500  0.500  0.000
Ga  0.250  0.750  0.500
Ga  0.750  0.250  0.500

=====

## C
Entry from Alexandria: an optimized crystal structure of Na2CdGa2 (PBE).

Calculated values
Magnetic moment in μB per atom: 0.00

a = 8.588 Å, b = 8.588 Å, c = 3.258 Å
α = 90.00°, β = 90.00°, γ = 90.00°
Element x y z (fractional)
Na  0.137  0.363  0.000
Na  0.363  0.863  0.000
Na  0.637  0.137  0.000
Na  0.863  0.637  0.000
Cd  0.000  0.000  0.000
Cd  0.500  0.500  0.000
Ga  0.162  0.662  0.500
Ga  0.338  0.162  0.500
Ga  0.662  0.838  0.500
Ga  0.838  0.338  0.500

=====

Result of the stability comparison: B is the most stable of them.

=====

## A
Entry from Alexandria: an optimized crystal structure of Na4Cd5Ga2 (PBE).

Calculated values
Magnetic moment in μB per atom: 0.00

a = 7.142 Å, b = 4.566 Å, c = 8.900 Å
α = 90.00°, β = 97.69°, γ = 90.00°
Element x y z (fractional)
Na  0.206  0.000  0.365
Na  0.233  0.000  0.926
Na  0.767  0.000  0.074
Na  0.794  0.000  0.635
Cd  0.147  0.500  0.636
Cd  0.468  0.500  0.166
Cd  0.500  0.500  0.500
Cd  0.532  0.500  0.834
Cd  0.853  0.500  0.364
Ga  0.076  0.500  0.137
Ga  0.924  0.500  0.863

=====

## B
Entry from Alexandria: an optimized crystal structure of Na4Cd5Ga2 (PBE).

Calculated values
Magnetic moment in μB per atom: 0.00

a = 7.745 Å, b = 3.280 Å, c = 10.389 Å
α = 90.00°, β = 94.21°, γ = 90.00°
Element x y z (fractional)
Na  0.149  0.000  0.390
Na  0.291  0.000  0.947
Na  0.709  0.000  0.053
Na  0.851  0.000  0.610
Cd  0.210  0.500  0.678
Cd  0.413  0.500  0.211
Cd  0.500  0.500  0.500
Cd  0.587  0.500  0.789
Cd  0.790  0.500  0.322
Ga  0.050  0.500  0.126
Ga  0.950  0.500  0.874

=====

Result of the stability comparison: B is the most stable of them.

=====

## A
Entry from Alexandria: an optimized crystal structure of Na3Cd3Ga2 (PBE).

Calculated values
Magnetic moment in μB per atom: 0.00

a = 4.500 Å, b = 4.672 Å, c = 9.482 Å
α = 103.07°, β = 103.46°, γ = 90.19°
Element x y z (fractional)
Na  0.000  0.000  0.000
Na  0.132  0.635  0.264
Na  0.868  0.365  0.736
Cd  0.360  0.855  0.717
Cd  0.500  0.500  0.000
Cd  0.640  0.145  0.283
Ga  0.247  0.249  0.499
Ga  0.753  0.751  0.501

=====

## B
Entry from Alexandria: an optimized crystal structure of Na3Cd3Ga2 (PBE).

Calculated values
Magnetic moment in μB per atom: 0.00

a = 5.690 Å, b = 5.690 Å, c = 15.581 Å
α = 90.00°, β = 90.00°, γ = 130.78°
Element x y z (fractional)
Na  0.027  0.973  0.750
Na  0.161  0.839  0.537
Na  0.161  0.839  0.963
Na  0.839  0.161  0.037
Na  0.839  0.161  0.463
Na  0.973  0.027  0.250
Cd  0.319  0.681  0.750
Cd  0.475  0.525  0.593
Cd  0.475  0.525  0.907
Cd  0.525  0.475  0.093
Cd  0.525  0.475  0.407
Cd  0.681  0.319  0.250
Ga  0.255  0.745  0.161
Ga  0.255  0.745  0.339
Ga  0.745  0.255  0.661
Ga  0.745  0.255  0.839

=====

Result of the stability comparison: B is the most stable of them.

=====

## A
Entry from Alexandria: an optimized crystal structure of RbNa2CdGa (PBE).

Calculated values
Magnetic moment in μB per atom: 0.00

a = 5.855 Å, b = 5.855 Å, c = 5.470 Å
α = 90.00°, β = 90.00°, γ = 90.00°
Element x y z (fractional)
Rb  0.000  0.000  0.000
Na  0.000  0.500  0.500
Na  0.500  0.000  0.500
Cd  0.500  0.500  0.000
Ga  0.500  0.500  0.500

=====

## B
Entry from Alexandria: an optimized crystal structure of RbNa2CdGa (PBE).

Calculated values
Magnetic moment in μB per atom: 0.00

a = 5.983 Å, b = 5.983 Å, c = 5.337 Å
α = 90.00°, β = 90.00°, γ = 90.00°
Element x y z (fractional)
Rb  0.000  0.000  0.000
Na  0.000  0.500  0.500
Na  0.500  0.000  0.500
Cd  0.500  0.500  0.500
Ga  0.500  0.500  0.000

=====

Result of the stability comparison: A is the most stable of them.

=====

## A
Entry from Alexandria: an optimized crystal structure of Nb2Cd2Ga (PBE).

Calculated values
Magnetic moment in μB per atom: 0.00

a = 7.584 Å, b = 7.584 Å, c = 7.584 Å
α = 150.57°, β = 150.57°, γ = 42.10°
Element x y z (fractional)
Nb  0.082  0.082  0.000
Nb  0.918  0.918  0.000
Cd  0.250  0.750  0.500
Cd  0.750  0.250  0.500
Ga  0.500  0.500  0.000

=====

## B
Entry from Alexandria: an optimized crystal structure of Nb2Cd2Ga (PBE).

Calculated values
Magnetic moment in μB per atom: 0.12

a = 6.833 Å, b = 6.833 Å, c = 4.413 Å
α = 90.00°, β = 90.00°, γ = 90.00°
Element x y z (fractional)
Nb  0.141  0.359  0.000
Nb  0.359  0.859  0.000
Nb  0.641  0.141  0.000
Nb  0.859  0.641  0.000
Cd  0.161  0.661  0.500
Cd  0.339  0.161  0.500
Cd  0.661  0.839  0.500
Cd  0.839  0.339  0.500
Ga  0.000  0.000  0.000
Ga  0.500  0.500  0.000

=====

Result of the stability comparison: B is the most stable of them.